# 1
Zn2C: single point on PBEsol structure, meta-GGA SCAN.

Summary:
Magnetization, μB/cell: 0.00
E above lowest polymorph, eV per atom: 0.000
ΔE_f, meV per atom: 633
ρ, g/cm3: 6.456

Geometry as CIF:
```
data_Zn2C
_cell_length_a 4.7410
_cell_length_b 4.7410
_cell_length_c 3.2687
_cell_angle_alpha 90.00
_cell_angle_beta 90.00
_cell_angle_gamma 90.00
_symmetry_space_group_name_H-M 'P 42/m n m'
_symmetry_Int_Tables_number 136
_symmetry_space_group_name_Hall '-P 4n 2n'
loop_
_atom_site_label
_atom_site_type_symbol
_atom_site_fract_x
_atom_site_fract_y
_atom_site_fract_z
Zn1 Zn 0.2003 0.2003 0.0000
C1 C 0.0000 0.0000 0.5000
```


# 2
ZnC: single point on PBEsol structure, meta-GGA SCAN.

Summary:
Magnetization, μB/cell: 0.00
E above lowest polymorph, eV per atom: 1.600
ΔE_f, meV per atom: 1657
ρ, g/cm3: 6.305

Geometry as CIF:
```
data_ZnC
_cell_length_a 4.3367
_cell_length_b 4.3367
_cell_length_c 4.3367
_cell_angle_alpha 90.00
_cell_angle_beta 90.00
_cell_angle_gamma 90.00
_symmetry_space_group_name_H-M 'F m -3 m'
_symmetry_Int_Tables_number 225
_symmetry_space_group_name_Hall '-F 4 2 3'
loop_
_atom_site_label
_atom_site_type_symbol
_atom_site_fract_x
_atom_site_fract_y
_atom_site_fract_z
Zn1 Zn 0.0000 0.0000 0.0000
C1 C 0.0000 0.0000 0.5000
```


# 3
ZnC2: single point on PBEsol structure, meta-GGA SCAN.

Summary:
Magnetization, μB/cell: 0.00
E above lowest polymorph, eV per atom: 0.409
ΔE_f, meV per atom: 1299
ρ, g/cm3: 2.327

Geometry as CIF:
```
data_ZnC2
_cell_length_a 6.8417
_cell_length_b 8.5116
_cell_length_c 6.5754
_cell_angle_alpha 90.00
_cell_angle_beta 90.00
_cell_angle_gamma 90.00
_symmetry_space_group_name_H-M 'C m m m'
_symmetry_Int_Tables_number 65
_symmetry_space_group_name_Hall '-C 2 2'
loop_
_atom_site_label
_atom_site_type_symbol
_atom_site_fract_x
_atom_site_fract_y
_atom_site_fract_z
Zn1 Zn 0.0000 0.0000 0.0000
Zn2 Zn 0.0000 0.3607 0.5000
C1 C 0.0981 0.1302 0.5000
C2 C 0.2273 0.0000 0.5000
```


# 4
Zn3C4: single point on PBEsol structure, meta-GGA SCAN.

Summary:
Magnetization, μB/cell: 0.00
E above lowest polymorph, eV per atom: 0.784
ΔE_f, meV per atom: 2297
ρ, g/cm3: 5.327

Geometry as CIF:
```
data_Zn3C4
_cell_length_a 4.2384
_cell_length_b 4.2384
_cell_length_c 4.2384
_cell_angle_alpha 90.00
_cell_angle_beta 90.00
_cell_angle_gamma 90.00
_symmetry_space_group_name_H-M 'P m -3 m'
_symmetry_Int_Tables_number 221
_symmetry_space_group_name_Hall '-P 4 2 3'
loop_
_atom_site_label
_atom_site_type_symbol
_atom_site_fract_x
_atom_site_fract_y
_atom_site_fract_z
Zn1 Zn 0.0000 0.0000 0.5000
C1 C 0.0000 0.0000 0.0000
C2 C 0.0000 0.5000 0.5000
```


# 5
ZnC: single point on PBEsol structure, meta-GGA SCAN.

Summary:
Magnetization, μB/cell: 0.00
E above lowest polymorph, eV per atom: 0.000
ΔE_f, meV per atom: 57
ρ, g/cm3: 4.840

Geometry as CIF:
```
data_ZnC
_cell_length_a 2.4821
_cell_length_b 2.4821
_cell_length_c 9.9573
_cell_angle_alpha 90.00
_cell_angle_beta 90.00
_cell_angle_gamma 120.00
_symmetry_space_group_name_H-M 'P -3 m 1'
_symmetry_Int_Tables_number 164
_symmetry_space_group_name_Hall '-P 3 2"'
loop_
_atom_site_label
_atom_site_type_symbol
_atom_site_fract_x
_atom_site_fract_y
_atom_site_fract_z
Zn1 Zn 0.3333 0.6667 0.1298
C1 C 0.3333 0.6667 0.5000
```


# 6
ZnC2: single point on PBEsol structure, meta-GGA SCAN.

Summary:
Magnetization, μB/cell: 0.00
E above lowest polymorph, eV per atom: 0.579
ΔE_f, meV per atom: 1468
ρ, g/cm3: 4.913

Geometry as CIF:
```
data_ZnC2
_cell_length_a 2.9124
_cell_length_b 2.9124
_cell_length_c 7.1268
_cell_angle_alpha 90.00
_cell_angle_beta 90.00
_cell_angle_gamma 90.00
_symmetry_space_group_name_H-M 'P 4/n m m'
_symmetry_Int_Tables_number 129
loop_
_symmetry_equiv_pos_as_xyz
'x,y,z'
'-x,-y,-z'
'-y+1/2,x,z'
'y+1/2,-x,-z'
'-x+1/2,-y+1/2,z'
'x+1/2,y+1/2,-z'
'y,-x+1/2,z'
'-y,x+1/2,-z'
'x+1/2,-y,-z'
'-x+1/2,y,z'
'-y,-x,-z'
'y,x,z'
'-x,y+1/2,-z'
'x,-y+1/2,z'
'y+1/2,x+1/2,-z'
'-y+1/2,-x+1/2,z'
loop_
_atom_site_label
_atom_site_type_symbol
_atom_site_fract_x
_atom_site_fract_y
_atom_site_fract_z
Zn1 Zn 0.2500 0.2500 0.1091
C1 C 0.2500 0.2500 0.3919
C2 C 0.2500 0.7500 0.5000
```